This record from the Alexandria database describes a geometry-optimized In2Ga2Au structure. The functional is GGA-PBEsol.

abc: 6.652 6.652 4.733
angles: 90.00 90.00 90.00
Element x y z (fractional)
In (0.175, 0.325, 0.000)
In (0.325, 0.825, 0.000)
In (0.675, 0.175, 0.000)
In (0.825, 0.675, 0.000)
Ga (0.137, 0.637, 0.500)
Ga (0.363, 0.137, 0.500)
Ga (0.637, 0.863, 0.500)
Ga (0.863, 0.363, 0.500)
Au (0.000, 0.000, 0.500)
Au (0.500, 0.500, 0.500)

Calculated values
Its calculated formation energy is -0.066 eV per atom. As for the magnetization: 0.000 μB/cell. As for the energy above the most stable polymorph in this dataset: 0.00 kJ per mole of atoms.



This record from the Alexandria database describes a geometry-optimized IrCl3 structure. The functional is GGA-PBEsol.

abc: 4.660 4.660 4.660
angles: 112.00 112.00 112.00
Element x y z (fractional)
Ir (0.000, 0.000, 0.000)
Cl (0.000, 0.500, 0.500)
Cl (0.500, 0.000, 0.500)
Cl (0.500, 0.500, 0.000)

Calculated values
For the energy relative to the elements, uncorrected, the calculation gives 0.937 eV/atom. As for the magnetization: 0.001 μB/cell.



This record from the Alexandria database describes a geometry-optimized LiMnAl2 structure. The functional is GGA-PBEsol.

abc: 4.895 4.895 4.263
angles: 109.80 109.80 33.57
Element x y z (fractional)
Li (0.000, 0.000, 0.000)
Mn (0.254, 0.254, 0.689)
Al (0.519, 0.519, 0.528)
Al (0.756, 0.756, 0.193)

Calculated values
Its calculated formation energy is -0.073 eV per atom. As for the magnetization: 1.478 μB/cell.



This record from the Alexandria database describes a geometry-optimized YMgAg2 structure. The functional is GGA-PBEsol.

abc: 3.416 3.416 7.016
angles: 90.00 90.00 90.00
Element x y z (fractional)
Y (0.000, 0.000, 0.000)
Mg (0.000, 0.000, 0.500)
Ag (0.500, 0.500, 0.273)
Ag (0.500, 0.500, 0.727)

Calculated values
Its calculated formation energy is -0.271 eV per atom. As for the magnetization: 0.000 μB/cell.



This record from the Alexandria database describes a geometry-optimized Cu2NiF structure. The functional is GGA-PBEsol.

abc: 3.949 3.949 3.949
angles: 60.00 60.00 60.00
Element x y z (fractional)
Cu (0.250, 0.250, 0.250)
Cu (0.750, 0.750, 0.750)
Ni (0.000, 0.000, 0.000)
F (0.500, 0.500, 0.500)

Calculated values
For the energy relative to the elements, uncorrected, the calculation gives 0.076 eV/atom. As for the magnetization: 0.339 μB/cell.



This record from the Alexandria database describes a geometry-optimized Sc2AsPb structure. The functional is GGA-PBEsol.

abc: 7.777 7.777 7.777
angles: 27.71 27.71 27.71
Element x y z (fractional)
Sc (0.234, 0.234, 0.234)
Sc (0.766, 0.766, 0.766)
As (0.500, 0.500, 0.500)
Pb (0.000, 0.000, 0.000)

Calculated values
Its calculated formation energy is -0.923 eV per atom. As for the magnetization: 0.000 μB/cell. As for the energy above the most stable polymorph in this dataset: 0.00 kJ per mole of atoms.



This record from the Alexandria database describes a geometry-optimized SiWBr2 structure. The functional is GGA-PBEsol.

abc: 8.829 8.829 8.829
angles: 21.25 21.25 21.25
Element x y z (fractional)
Si (0.000, 0.000, 0.000)
W (0.269, 0.269, 0.269)
Br (0.532, 0.532, 0.532)
Br (0.740, 0.740, 0.740)

Calculated values
For the energy relative to the elements, uncorrected, the calculation gives 0.093 eV/atom. As for the magnetization: 0.000 μB/cell. As for the energy above the most stable polymorph in this dataset: 0.00 kJ per mole of atoms.



This record from the Alexandria database describes a geometry-optimized CdAsBr2 structure. The functional is GGA-PBEsol.

abc: 4.953 4.953 3.656
angles: 90.00 90.00 90.25
Element x y z (fractional)
Cd (0.000, 0.000, 0.000)
As (0.500, 0.500, 0.000)
Br (0.000, 0.500, 0.500)
Br (0.500, 0.000, 0.500)

Calculated values
For the energy relative to the elements, uncorrected, the calculation gives 0.226 eV/atom. As for the magnetization: 0.000 μB/cell. As for the energy above the most stable polymorph in this dataset: 0.00 kJ per mole of atoms.